Entry 1:
A relaxed structure of TaCu2Pb, computed with PBE.

Lattice parameters (Å, degrees): 4.212 2.993 5.619 80.75 90.00 90.00
Sites, in units of the cell vectors:
Cu1 0.000 0.185 0.990
Cu2 0.500 0.131 0.226
Pb1 0.000 0.431 0.480
Ta1 0.500 0.754 0.803

Results
V = 17.48 A^3/atom
energy relative to the elements = 0.419 eV per atom
energy = -5.519 eV per atom
magnetization = 0.000 μB per atom

---

Entry 2:
A relaxed structure of ZnTe, computed with PBE.

Lattice parameters (Å, degrees): 11.497 11.572 9.046 90.00 90.00 90.00
Sites, in units of the cell vectors:
Zn1 0.000 0.858 0.000
Zn2 0.000 0.142 0.000
Zn3 0.250 0.892 0.250
Zn4 0.250 0.608 0.250
Zn5 0.000 0.358 0.500
Zn6 0.000 0.642 0.500
Zn7 0.250 0.392 0.750
Zn8 0.250 0.108 0.750
Zn9 0.500 0.858 0.500
Zn10 0.500 0.142 0.500
Zn11 0.750 0.892 0.750
Zn12 0.750 0.608 0.750
Zn13 0.500 0.358 0.000
Zn14 0.500 0.642 0.000
Zn15 0.750 0.392 0.250
Zn16 0.750 0.108 0.250
Te1 0.187 0.000 0.000
Te2 0.813 0.000 0.000
Te3 0.063 0.750 0.250
Te4 0.437 0.750 0.250
Te5 0.187 0.500 0.500
Te6 0.813 0.500 0.500
Te7 0.063 0.250 0.750
Te8 0.437 0.250 0.750
Te9 0.687 0.000 0.500
Te10 0.313 0.000 0.500
Te11 0.563 0.750 0.750
Te12 0.937 0.750 0.750
Te13 0.687 0.500 0.000
Te14 0.313 0.500 0.000
Te15 0.563 0.250 0.250
Te16 0.937 0.250 0.250

Results
V = 37.61 A^3/atom
E_form (uncorrected) = -0.59 eV per formula unit
energy = -2.505 eV per atom
magnetization = 0.000 μB per atom

---

Entry 3:
A relaxed structure of La4CdSi2, computed with PBE.

Lattice parameters (Å, degrees): 6.028 6.028 8.279 68.65 68.65 90.00
Sites, in units of the cell vectors:
Si1 0.581 0.581 0.839
Si2 0.419 0.419 0.161
Cd1 0.000 0.000 0.000
La1 0.778 0.778 0.444
La2 0.222 0.222 0.556
La3 0.000 0.500 0.000
La4 0.500 0.000 0.000

Results
V = 36.84 A^3/atom
E_form (uncorrected) = 0.10 eV per formula unit
energy = -4.482 eV per atom
magnetization = 0.081 μB per atom

---

Entry 4:
A relaxed structure of TmMnReSi2, computed with PBE.

Lattice parameters (Å, degrees): 3.965 3.965 5.909 109.60 109.60 90.00
Sites, in units of the cell vectors:
Tm1 0.000 0.000 0.000
Mn1 0.750 0.250 0.500
Re1 0.250 0.750 0.500
Si1 0.616 0.616 0.231
Si2 0.384 0.384 0.769

Results
V = 16.36 A^3/atom
E_form (uncorrected) = -2.81 eV per formula unit
energy = -7.950 eV per atom
magnetization = 0.516 μB per atom

---

Entry 5:
A relaxed structure of Be2MoP, computed with PBE.

Lattice parameters (Å, degrees): 3.093 3.093 4.813 90.00 90.00 90.00
Sites, in units of the cell vectors:
P1 0.500 0.500 0.755
Mo1 0.000 0.000 0.511
Be1 0.000 0.000 0.015
Be2 0.500 0.500 0.219

Results
V = 11.51 A^3/atom
energy relative to the elements = -0.168 eV per atom
energy = -6.091 eV per atom
magnetization = 0.000 μB per atom

---

Entry 6:
A relaxed structure of Ac2Si3PdPt12, computed with PBE.

Lattice parameters (Å, degrees): 7.869 7.869 7.869 63.57 63.57 63.57
Sites, in units of the cell vectors:
Ac1 0.616 0.616 0.616
Ac2 0.384 0.384 0.384
Si1 0.500 0.000 0.000
Si2 0.000 0.500 0.000
Si3 0.000 0.000 0.500
Pd1 0.000 0.000 0.000
Pt1 0.351 0.351 0.900
Pt2 0.875 0.875 0.378
Pt3 0.378 0.875 0.875
Pt4 0.900 0.351 0.351
Pt5 0.875 0.378 0.875
Pt6 0.351 0.900 0.351
Pt7 0.649 0.649 0.100
Pt8 0.125 0.125 0.622
Pt9 0.622 0.125 0.125
Pt10 0.100 0.649 0.649
Pt11 0.125 0.622 0.125
Pt12 0.649 0.100 0.649

Results
V = 20.65 A^3/atom
E_form (uncorrected) = -8.19 eV per formula unit
energy = -6.131 eV per atom
magnetization = 0.000 μB per atom

---

Entry 7:
A relaxed structure of La6Cd5Ga, computed with PBE.

Lattice parameters (Å, degrees): 5.510 7.819 9.574 65.90 73.16 90.00
Sites, in units of the cell vectors:
Cd1 0.678 0.178 0.645
Cd2 0.333 0.333 0.334
Cd3 0.000 0.500 0.000
Cd4 0.667 0.667 0.666
Cd5 0.322 0.822 0.355
Ga1 0.000 0.000 0.000
La1 0.840 0.598 0.321
La2 0.840 0.081 0.321
La3 0.500 0.766 0.000
La4 0.500 0.234 0.000
La5 0.160 0.919 0.679
La6 0.160 0.402 0.679

Results
V = 29.76 A^3/atom
energy relative to the elements = -0.372 eV per atom
energy = -3.469 eV per atom
magnetization = 0.000 μB per atom

---

Entry 8:
A relaxed structure of Tl2AsO, computed with PBE.

Lattice parameters (Å, degrees): 4.885 4.885 4.885 60.00 60.00 60.00
Sites, in units of the cell vectors:
Tl1 0.250 0.250 0.250
Tl2 0.750 0.750 0.750
As1 0.500 0.500 0.500
O1 0.000 0.000 0.000

Results
V = 20.60 A^3/atom
E_form (uncorrected) = 0.82 eV per formula unit
energy = -3.380 eV per atom
distance to the lowest polymorph of the same formula = 345 meV/atom
magnetization = 0.000 μB per atom

---

Entry 9:
A relaxed structure of Mg4Sn5Pb, computed with PBE.

Lattice parameters (Å, degrees): 3.391 3.391 21.898 90.00 90.00 90.00
Sites, in units of the cell vectors:
Mg1 0.000 0.000 0.212
Mg2 0.000 0.000 0.404
Mg3 0.000 0.000 0.596
Mg4 0.000 0.000 0.788
Sn1 0.500 0.500 0.118
Sn2 0.500 0.500 0.308
Sn3 0.500 0.500 0.500
Sn4 0.500 0.500 0.692
Sn5 0.500 0.500 0.882
Pb1 0.000 0.000 0.000

Results
V = 25.18 A^3/atom
energy relative to the elements = -0.092 eV per atom
energy = -3.102 eV per atom
magnetization = 0.000 μB per atom

---

Entry 10:
A relaxed structure of Fe5Tc4, computed with PBE.

Lattice parameters (Å, degrees): 5.837 5.837 5.837 95.70 95.70 143.27
Sites, in units of the cell vectors:
Fe1 0.000 0.000 0.000
Fe2 0.660 0.660 0.321
Fe3 0.340 0.660 0.000
Fe4 0.660 0.340 0.000
Fe5 0.340 0.340 0.679
Tc1 0.680 0.000 0.680
Tc2 0.320 0.000 0.320
Tc3 0.000 0.680 0.680
Tc4 0.000 0.320 0.320

Results
V = 12.54 A^3/atom
energy relative to the elements = 0.115 eV per atom
energy = -9.193 eV per atom
distance to the lowest polymorph of the same formula = 0 meV/atom
magnetization = 0.497 μB per atom

---

Entry 11:
A relaxed structure of GaHgSb, computed with PBE.

Lattice parameters (Å, degrees): 3.335 5.061 5.061 120.00 90.00 90.00
Sites, in units of the cell vectors:
Sb1 0.045 0.000 0.000
Hg1 0.662 0.333 0.667
Ga1 0.292 0.667 0.333

Results
V = 24.66 A^3/atom
E_form (uncorrected) = 0.34 eV per formula unit
energy = -2.369 eV per atom
distance to the lowest polymorph of the same formula = 21 meV/atom
magnetization = 0.000 μB per atom

---

Entry 12:
A relaxed structure of SiWSCl2, computed with PBE.

Lattice parameters (Å, degrees): 4.851 4.851 4.674 90.00 90.00 90.00
Sites, in units of the cell vectors:
S1 0.000 0.000 0.500
Si1 0.500 0.500 0.500
W1 0.000 0.000 0.000
Cl1 0.000 0.500 0.000
Cl2 0.500 0.000 0.000

Results
V = 22.00 A^3/atom
E_form (uncorrected) = 2.44 eV per formula unit
energy = -4.751 eV per atom
distance to the lowest polymorph of the same formula = 0 meV/atom
magnetization = 0.468 μB per atom